Entry a
Material: Er12Tm6Pb
Method: DFT, GGA-PBE
State: relaxed

Cell: 11.6759 11.6759 14.8494 Å, 90.00 90.00 120.00°
Space group R-3 (No. 148, hexagonal axes)
Inequivalent atoms, fractional coordinates:
Er: 0.0023 0.8237 0.1878
Er: 0.0424 0.8481 0.4160
Tm: 0.0154 0.4266 0.6838
Pb: 0.0000 0.0000 0.0000



Entry b
Material: Er12Tm6Pb
Method: DFT, GGA-PBE
State: relaxed

Cell: 15.2119 15.2119 8.5443 Å, 90.00 90.00 120.00°
Space group R-3 (No. 148, hexagonal axes)
Inequivalent atoms, fractional coordinates:
Er: 0.0356 0.7517 0.3390
Er: 0.0698 0.5093 0.6650
Tm: 0.0177 0.8781 0.6661
Pb: 0.0000 0.0000 0.0000



It comes down to entry b, which is 94 meV/atom more stable than the next structure.



Entry a
Material: Y3ErPb2
Method: DFT, GGA-PBE
State: relaxed

Cell: 7.3060 14.5609 7.6432 Å, 90.00 90.00 90.00°
Space group Ibam (No. 72)
Inequivalent atoms, fractional coordinates:
Y: 0.0000 0.0000 0.2500
Y: 0.0000 0.2913 0.2500
Er: 0.0000 0.5000 0.0000
Pb: 0.1795 0.1428 0.0000



Entry b
Material: Y3ErPb2
Method: DFT, GGA-PBE
State: relaxed

Cell: 4.5679 4.5679 8.5433 Å, 90.00 90.00 90.00°
Space group P-4m2 (No. 115)
Inequivalent atoms, fractional coordinates:
Y: 0.0000 0.0000 0.0000
Y: 0.0000 0.5000 0.6572
Er: 0.5000 0.5000 0.0000
Pb: 0.0000 0.5000 0.2828



It comes down to entry b, which is 277 meV/atom more stable than the next structure.



Entry a
Material: YEr2Pb
Method: DFT, GGA-PBE
State: relaxed

Cell: 3.5231 3.5231 35.8553 Å, 90.00 90.00 120.00°
Space group R-3m (No. 166, hexagonal axes)
Inequivalent atoms, fractional coordinates:
Y: 0.0000 0.0000 0.0000
Er: 0.0000 0.0000 0.4121
Pb: 0.0000 0.0000 0.5000



Entry b
Material: YEr2Pb
Method: DFT, GGA-PBE
State: relaxed

Cell: 4.6072 4.6590 11.4447 Å, 90.00 101.60 90.00°
Space group P2_1/m (No. 11)
Inequivalent atoms, fractional coordinates:
Y: 0.1909 0.2500 0.3831
Er: 0.0582 0.7500 0.1165
Er: 0.4379 0.7500 0.8758
Pb: 0.3338 0.2500 0.6661



It comes down to entry b, which is 363 meV/atom more stable than the next structure.



Entry a
Material: ErZr2Pb
Method: DFT, GGA-PBE
State: relaxed

Cell: 3.3706 3.3706 31.3227 Å, 90.00 90.00 120.00°
Space group R3m (No. 160, hexagonal axes)
Inequivalent atoms, fractional coordinates:
Er: 0.0000 0.0000 0.0000
Zr: 0.0000 0.0000 0.2484
Zr: 0.0000 0.0000 0.4180
Pb: 0.0000 0.0000 0.8334



Entry b
Material: ErZr2Pb
Method: DFT, GGA-PBE
State: relaxed

Cell: 4.5800 4.5800 4.6432 Å, 90.00 90.00 90.00°
Space group P4/mmm (No. 123)
Inequivalent atoms, fractional coordinates:
Er: 0.0000 0.0000 0.0000
Zr: 0.0000 0.5000 0.5000
Pb: 0.5000 0.5000 0.0000



It comes down to entry b, which is 172 meV/atom more stable than the next structure.



Entry a
Material: ErZr2Pb
Method: DFT, GGA-PBE
State: relaxed

Cell: 4.4055 21.3834 4.4130 Å, 90.00 90.00 90.00°
Space group Cmcm (No. 63)
Inequivalent atoms, fractional coordinates:
Er: 0.0000 0.1889 0.2500
Zr: 0.0000 0.0540 0.7500
Zr: 0.0000 0.4476 0.7500
Pb: 0.0000 0.3365 0.2500



Entry b
Material: ErZr2Pb
Method: DFT, GGA-PBE
State: relaxed

Cell: 3.3055 3.3055 34.4306 Å, 90.00 90.00 120.00°
Space group R-3m (No. 166, hexagonal axes)
Inequivalent atoms, fractional coordinates:
Er: 0.0000 0.0000 0.0000
Zr: 0.0000 0.0000 0.4124
Pb: 0.0000 0.0000 0.5000



It comes down to entry a, which is 556 meV/atom more stable than the next structure.



Entry a
Material: Er2ZrPb
Method: DFT, GGA-PBE
State: relaxed

Cell: 3.4952 3.4952 31.4967 Å, 90.00 90.00 120.00°
Space group R3m (No. 160, hexagonal axes)
Inequivalent atoms, fractional coordinates:
Er: 0.0000 0.0000 0.0000
Er: 0.0000 0.0000 0.1646
Zr: 0.0000 0.0000 0.4153
Pb: 0.0000 0.0000 0.5821



Entry b
Material: Er2ZrPb
Method: DFT, GGA-PBE
State: relaxed

Cell: 3.4230 3.4230 34.7248 Å, 90.00 90.00 120.00°
Space group R-3m (No. 166, hexagonal axes)
Inequivalent atoms, fractional coordinates:
Er: 0.0000 0.0000 0.0918
Zr: 0.0000 0.0000 0.5000
Pb: 0.0000 0.0000 0.0000



Entry c
Material: Er2ZrPb
Method: DFT, GGA-PBE
State: relaxed

Cell: 4.7266 4.7266 4.6513 Å, 90.00 90.00 90.00°
Space group P4/mmm (No. 123)
Inequivalent atoms, fractional coordinates:
Er: 0.0000 0.5000 0.0000
Zr: 0.0000 0.0000 0.5000
Pb: 0.5000 0.5000 0.5000



It comes down to entry c, which is 50 meV/atom more stable than the next structure.



Entry a
Material: Er4Pd
Method: DFT, GGA-PBE
State: relaxed

Cell: 12.5190 12.5576 7.2419 Å, 90.00 90.00 90.00°
Space group Fdd2 (No. 43)
Inequivalent atoms, fractional coordinates:
Er: 0.0782 0.1264 0.0000
Er: 0.1228 0.1723 0.5425
Pd: 0.0000 0.0000 0.6457



Entry b
Material: Er4Pd
Method: DFT, GGA-PBE
State: relaxed

Cell: 5.4066 5.4066 5.4066 Å, 90.00 90.00 90.00°
Space group Pm-3m (No. 221)
Inequivalent atoms, fractional coordinates:
Er: 0.0000 0.0000 0.0000
Er: 0.0000 0.5000 0.5000
Pd: 0.5000 0.5000 0.5000



It comes down to entry a, which is 167 meV/atom more stable than the next structure.



Entry a
Material: PmErPd2
Method: DFT, GGA-PBE
State: relaxed

Cell: 4.5768 3.7852 10.6389 Å, 90.00 90.00 90.00°
Space group Amm2 (No. 38)
Inequivalent atoms, fractional coordinates:
Pm: 0.0000 0.0000 0.0000
Er: 0.5000 0.0000 0.7257
Pd: 0.0000 0.0000 0.2740
Pd: 0.5000 0.0000 0.4460



Entry b
Material: PmErPd2
Method: DFT, GGA-PBE
State: relaxed

Cell: 4.1454 4.1454 19.8369 Å, 90.00 90.00 120.00°
Space group R-3m (No. 166, hexagonal axes)
Inequivalent atoms, fractional coordinates:
Pm: 0.0000 0.0000 0.0000
Er: 0.0000 0.0000 0.5000
Pd: 0.0000 0.0000 0.2449



It comes down to entry a, which is 158 meV/atom more stable than the next structure.



Entry a
Material: PmEr2Pd
Method: DFT, GGA-PBE
State: relaxed

Cell: 3.6759 3.6759 29.2120 Å, 90.00 90.00 120.00°
Space group R-3m (No. 166, hexagonal axes)
Inequivalent atoms, fractional coordinates:
Pm: 0.0000 0.0000 0.0000
Er: 0.0000 0.0000 0.2312
Pd: 0.0000 0.0000 0.5000



Entry b
Material: PmEr2Pd
Method: DFT, GGA-PBE
State: relaxed

Cell: 3.5554 3.5554 8.5216 Å, 90.00 90.00 90.00°
Space group P4/mmm (No. 123)
Inequivalent atoms, fractional coordinates:
Pm: 0.0000 0.0000 0.0000
Er: 0.5000 0.5000 0.3062
Pd: 0.0000 0.0000 0.5000



It comes down to entry b, which is 124 meV/atom more stable than the next structure.



Entry a
Material: PmEr2Pd
Method: DFT, GGA-PBE
State: relaxed

Cell: 3.8438 3.8438 27.4594 Å, 90.00 90.00 120.00°
Space group R3m (No. 160, hexagonal axes)
Inequivalent atoms, fractional coordinates:
Pm: 0.0000 0.0000 0.0000
Er: 0.0000 0.0000 0.2308
Er: 0.0000 0.0000 0.4398
Pd: 0.0000 0.0000 0.8358



Entry b
Material: PmEr2Pd
Method: DFT, GGA-PBE
State: relaxed

Cell: 3.7485 9.2065 6.5571 Å, 90.00 106.54 90.00°
Space group P2_1/m (No. 11)
Inequivalent atoms, fractional coordinates:
Pm: 0.0574 0.2500 0.1162
Er: 0.3633 0.0593 0.7254
Pd: 0.2378 0.7500 0.4770



Entry c
Material: PmEr2Pd
Method: DFT, GGA-PBE
State: relaxed

Cell: 7.0722 9.6497 6.5028 Å, 90.00 90.00 90.00°
Space group Pnma (No. 62)
Inequivalent atoms, fractional coordinates:
Pm: 0.0166 0.2500 0.1327
Er: 0.1787 0.0602 0.6729
Pd: 0.1122 0.7500 0.4271



It comes down to entry c, which is 14 meV/atom more stable than the next structure.



Entry a
Material: Pm2ErPd2
Method: DFT, GGA-PBE
State: relaxed

Cell: 13.0224 3.9621 11.3890 Å, 90.00 119.06 90.00°
Space group C2/m (No. 12)
Inequivalent atoms, fractional coordinates:
Pm: 0.0467 0.0000 0.1970
Pm: 0.1711 0.0000 0.5774
Er: 0.2033 0.5000 0.8573
Pd: 0.0158 0.5000 0.3815
Pd: 0.1234 0.5000 0.0535



Entry b
Material: Pm2ErPd2
Method: DFT, GGA-PBE
State: relaxed

Cell: 7.8807 7.8807 4.0470 Å, 90.00 90.00 90.00°
Space group P4/mbm (No. 127)
Inequivalent atoms, fractional coordinates:
Pm: 0.1686 0.3314 0.0000
Er: 0.0000 0.0000 0.5000
Pd: 0.1308 0.6308 0.5000



It comes down to entry a, which is 6 meV/atom more stable than the next structure.